Ti3ZnH | the Alexandria database | PBE | relaxed; energy above the most stable polymorph in this dataset = 0.071 eV/atom
1.0
5.611 0.006 0.004
0.236 5.268 -0.006
1.486 2.470 4.559
Ti Zn H
6 2 2
Direct
0.727 0.800 0.624
0.872 0.355 0.133
0.473 0.392 0.582
0.231 0.870 0.592
0.114 0.877 0.123
0.618 0.947 0.090
0.360 0.408 0.106
0.985 0.339 0.609
0.912 0.771 0.909
0.433 0.975 0.806